Computed, not measured: an optimized crystal structure of GaCo2O3 at the PBE+U level of DFT.

Computed properties:
**DOS(E_F)**: 0.139 states/eV per atom
**E**: -5.680 eV/atom
**Crystal system**: monoclinic

The structure in CIF format:
```
data_GaCo2O3
_chemical_formula_sum 'Ga4 Co8 O12'
_symmetry_space_group_name_H-M 'C 1 2/c 1'
_symmetry_Int_Tables_number 15
_cell_length_a 8.818
_cell_length_b 6.116
_cell_length_c 5.441
_cell_angle_alpha 90.00
_cell_angle_beta 107.49
_cell_angle_gamma 90.00
loop_
_symmetry_equiv_pos_as_xyz
'x,y,z'
'-x,-y,-z'
'-x,y,-z+1/2'
'x,-y,z+1/2'
'x+1/2,y+1/2,z'
'-x+1/2,-y+1/2,-z'
'-x+1/2,y+1/2,-z+1/2'
'x+1/2,-y+1/2,z+1/2'
loop_
_atom_site_label
_atom_site_fract_x
_atom_site_fract_y
_atom_site_fract_z
Ga1 0.000 0.098 0.250
Co1 0.176 0.433 0.042
O1 0.000 0.408 0.250
O2 0.149 0.053 0.621
```